Record 1
Computed, not measured: a relaxed Li3CaPt crystal at the GGA-PBEsol level of DFT.

a = 4.7478 Å, b = 4.7478 Å, c = 4.7478 Å
α = 90.00°, β = 90.00°, γ = 90.00°
Sites, in units of the cell vectors:
Li 0.0000 0.0000 0.5000
Li 0.0000 0.5000 0.0000
Li 0.5000 0.0000 0.0000
Ca 0.5000 0.5000 0.5000
Pt 0.0000 0.0000 0.0000

Output
The space group is Pm-3m, No. 221.

=====

Record 2
Computed, not measured: a relaxed LiCaPt crystal at the GGA-PBEsol level of DFT.

a = 4.3020 Å, b = 4.3020 Å, c = 3.6763 Å
α = 90.00°, β = 90.00°, γ = 120.00°
Sites, in units of the cell vectors:
Li 0.0000 0.0000 0.0000
Ca 0.6667 0.3333 0.5000
Pt 0.3333 0.6667 0.0000

Output
The space group is P-6m2, No. 187.

=====

Record 3
Computed, not measured: a relaxed Li2CaPt crystal at the GGA-PBEsol level of DFT.

a = 3.1339 Å, b = 4.6768 Å, c = 5.0738 Å
α = 90.00°, β = 95.98°, γ = 90.00°
Sites, in units of the cell vectors:
Li 0.2247 0.0000 0.3084
Li 0.7753 0.0000 0.6916
Ca 0.5000 0.5000 0.0000
Pt 0.0000 0.5000 0.5000

Output
The space group is P2/m, No. 10.

=====

Record 4
Computed, not measured: a relaxed LiCaPt4 crystal at the GGA-PBEsol level of DFT.

a = 5.2858 Å, b = 5.2858 Å, c = 5.2858 Å
α = 60.00°, β = 60.00°, γ = 60.00°
Sites, in units of the cell vectors:
Li 0.0000 0.0000 0.0000
Ca 0.7500 0.7500 0.7500
Pt 0.3747 0.3747 0.3747
Pt 0.3747 0.3747 0.8758
Pt 0.3747 0.8758 0.3747
Pt 0.8758 0.3747 0.3747

Output
The space group is F-43m, No. 216.

=====

Record 5
Computed, not measured: a relaxed LiCaPt crystal at the GGA-PBEsol level of DFT.

a = 5.3553 Å, b = 5.3553 Å, c = 5.3553 Å
α = 142.27°, β = 142.27°, γ = 54.42°
Sites, in units of the cell vectors:
Li 0.0000 0.0000 0.0000
Ca 0.7173 0.7173 0.0000
Pt 0.3928 0.3928 0.0000

Output
The space group is I4mm, No. 107.

=====

Record 6
Computed, not measured: a relaxed Li2CaPt crystal at the GGA-PBEsol level of DFT.

a = 4.7191 Å, b = 4.7191 Å, c = 4.7191 Å
α = 120.43°, β = 119.74°, γ = 89.85°
Sites, in units of the cell vectors:
Li 0.0000 0.0000 0.0000
Li 0.7522 0.2522 0.5000
Ca 0.4974 0.4974 0.0000
Pt 0.2444 0.7444 0.5000

Output
The space group is Imm2, No. 44.

=====

Record 7
Computed, not measured: a relaxed Li2CaPt crystal at the GGA-PBEsol level of DFT.

a = 5.3664 Å, b = 5.3664 Å, c = 5.3664 Å
α = 47.90°, β = 47.90°, γ = 47.90°
Sites, in units of the cell vectors:
Li 0.0000 0.0000 0.0000
Li 0.2806 0.2806 0.2806
Ca 0.8001 0.8001 0.8001
Pt 0.5897 0.5897 0.5897

Output
The space group is R3m, No. 160.

=====

Record 8
Computed, not measured: a relaxed Li2CaPt crystal at the GGA-PBEsol level of DFT.

a = 9.9571 Å, b = 9.9571 Å, c = 9.9571 Å
α = 17.74°, β = 17.74°, γ = 17.74°
Sites, in units of the cell vectors:
Li 0.2301 0.2301 0.2301
Li 0.7699 0.7699 0.7699
Ca 0.0000 0.0000 0.0000
Pt 0.5000 0.5000 0.5000

Output
The space group is R-3m, No. 166.

=====

Record 9
Computed, not measured: a relaxed Li2CaPt crystal at the GGA-PBEsol level of DFT.

a = 5.2537 Å, b = 5.2537 Å, c = 4.4255 Å
α = 114.77°, β = 114.77°, γ = 41.73°
Sites, in units of the cell vectors:
Li 0.2251 0.2251 0.2247
Li 0.7749 0.7749 0.7753
Ca 0.0000 0.0000 0.5000
Pt 0.5000 0.5000 0.0000

Output
The space group is C2/m, No. 12.

=====

Record 10
Computed, not measured: a relaxed RbLi3Ca crystal at the GGA-PBEsol level of DFT.

a = 5.6560 Å, b = 5.6560 Å, c = 5.6560 Å
α = 90.00°, β = 90.00°, γ = 90.00°
Sites, in units of the cell vectors:
Rb 0.0000 0.0000 0.0000
Li 0.0000 0.0000 0.5000
Li 0.0000 0.5000 0.0000
Li 0.5000 0.0000 0.0000
Ca 0.5000 0.5000 0.5000

Output
The space group is Pm-3m, No. 221.

=====

Record 11
Computed, not measured: a relaxed LiCaRe crystal at the GGA-PBEsol level of DFT.

a = 5.2841 Å, b = 5.2841 Å, c = 5.2841 Å
α = 151.86°, β = 128.97°, γ = 59.29°
Sites, in units of the cell vectors:
Li 0.0000 0.0000 0.0000
Ca 0.3134 0.3134 0.0000
Re 0.6397 0.6397 0.0000

Output
For the polymorph energy (0 for the lowest one), the calculation gives 0 meV per atom. The space group is Imm2, No. 44.

=====

Record 12
Computed, not measured: a relaxed LiCaRe crystal at the GGA-PBEsol level of DFT.

a = 4.6561 Å, b = 4.6561 Å, c = 4.6561 Å
α = 60.00°, β = 60.00°, γ = 60.00°
Sites, in units of the cell vectors:
Li 0.0000 0.0000 0.0000
Ca 0.2500 0.2500 0.2500
Re 0.5000 0.5000 0.5000

Output
For the polymorph energy (0 for the lowest one), the calculation gives 1138 meV per atom. The space group is F-43m, No. 216.

=====

Record 13
Computed, not measured: a relaxed LiCaRe2 crystal at the GGA-PBEsol level of DFT.

a = 2.7315 Å, b = 4.3233 Å, c = 5.9856 Å
α = 90.00°, β = 98.57°, γ = 90.00°
Sites, in units of the cell vectors:
Li 0.0000 0.0000 0.0000
Ca 0.2754 0.5000 0.7176
Re 0.5364 0.0000 0.4010
Re 0.7904 0.5000 0.2464

Output
For the polymorph energy (0 for the lowest one), the calculation gives 0 meV per atom. The space group is Pm, No. 6.

=====

Record 14
Computed, not measured: a relaxed LiCa2Re crystal at the GGA-PBEsol level of DFT.

a = 5.7590 Å, b = 5.7590 Å, c = 5.5038 Å
α = 103.94°, β = 103.94°, γ = 29.22°
Sites, in units of the cell vectors:
Li 0.0000 0.0000 0.0000
Ca 0.5734 0.5734 0.5664
Ca 0.7756 0.7756 0.1754
Re 0.3204 0.3204 0.6948

Output
The space group is Cm, No. 8.

=====

Record 15
Computed, not measured: a relaxed Li3CaRe crystal at the GGA-PBEsol level of DFT.

a = 4.8228 Å, b = 4.8228 Å, c = 4.8228 Å
α = 90.00°, β = 90.00°, γ = 90.00°
Sites, in units of the cell vectors:
Li 0.0000 0.0000 0.5000
Li 0.0000 0.5000 0.0000
Li 0.5000 0.0000 0.0000
Ca 0.5000 0.5000 0.5000
Re 0.0000 0.0000 0.0000

Output
For the polymorph energy (0 for the lowest one), the calculation gives 0 meV per atom. The space group is Pm-3m, No. 221.

=====

Record 16
Computed, not measured: a relaxed LiCaRe2 crystal at the GGA-PBEsol level of DFT.

a = 2.6017 Å, b = 2.6017 Å, c = 9.5053 Å
α = 90.00°, β = 90.00°, γ = 90.00°
Sites, in units of the cell vectors:
Li 0.0000 0.0000 0.0000
Ca 0.0000 0.0000 0.5000
Re 0.5000 0.5000 0.2334
Re 0.5000 0.5000 0.7666

Output
For the polymorph energy (0 for the lowest one), the calculation gives 221 meV per atom. The space group is P4/mmm, No. 123.

=====

Record 17
Computed, not measured: a relaxed LiCa2Rh crystal at the GGA-PBEsol level of DFT.

a = 3.4295 Å, b = 3.4295 Å, c = 8.4410 Å
α = 90.00°, β = 90.00°, γ = 90.00°
Sites, in units of the cell vectors:
Li 0.0000 0.0000 0.0000
Ca 0.5000 0.5000 0.3071
Ca 0.5000 0.5000 0.6929
Rh 0.0000 0.0000 0.5000

Output
The space group is P4/mmm, No. 123.

=====

Record 18
Computed, not measured: a relaxed LiCa4Rh crystal at the GGA-PBEsol level of DFT.

a = 6.3350 Å, b = 6.3350 Å, c = 6.3350 Å
α = 60.00°, β = 60.00°, γ = 60.00°
Sites, in units of the cell vectors:
Li 0.0000 0.0000 0.0000
Ca 0.1286 0.6238 0.6238
Ca 0.6238 0.1286 0.6238
Ca 0.6238 0.6238 0.1286
Ca 0.6238 0.6238 0.6238
Rh 0.2500 0.2500 0.2500

Output
The space group is F-43m, No. 216.

=====

Record 19
Computed, not measured: a relaxed LiCa2Rh crystal at the GGA-PBEsol level of DFT.

a = 6.4709 Å, b = 6.4709 Å, c = 6.4709 Å
α = 149.85°, β = 134.81°, γ = 55.29°
Sites, in units of the cell vectors:
Li 0.0000 0.0000 0.0000
Ca 0.3700 0.3700 0.0000
Ca 0.6718 0.1718 0.5000
Rh 0.1713 0.6713 0.5000

Output
The space group is Imm2, No. 44.

=====

Record 20
Computed, not measured: a relaxed LiCaRh3 crystal at the GGA-PBEsol level of DFT.

a = 4.2424 Å, b = 4.2424 Å, c = 4.2424 Å
α = 90.00°, β = 90.00°, γ = 90.00°
Sites, in units of the cell vectors:
Li 0.0000 0.0000 0.0000
Ca 0.5000 0.5000 0.5000
Rh 0.0000 0.0000 0.5000
Rh 0.0000 0.5000 0.0000
Rh 0.5000 0.0000 0.0000

Output
The space group is Pm-3m, No. 221.

=====

Looking at calculated formation energy for the records above, in order, we have -14.4; -49.3; -29.8; -68.1; -45.6; -37.6; -41.7; 7.6; -38.8; 53.4; 69.0; 178.9; 40.1; 56.3; 105.4; 61.4; -17.9; 64.7; -10.8; 34.8 kJ/mol of atoms.
Looking at total DFT energy (no corrections) for the records above, in order, we have -3.15; -4.20; -3.57; -6.03; -4.16; -3.65; -3.69; -3.18; -3.66; -1.26; -5.10; -3.96; -7.28; -4.31; -3.18; -7.05; -3.78; -2.44; -3.71; -5.34 eV/atom.